Entry from Alexandria: Y2AsRh at its PBEsol-relaxed geometry (meta-GGA SCAN).

Cell and atoms, written as POSCAR:
```
Y2AsRh
1.0
4.1966 0.0000 0.0000
0.0000 1.9091 5.2799
0.0000 -1.9091 5.2799
Y As Rh
2 1 1
Direct
0.0000 0.0000 0.0000 Y
0.5000 0.2795 0.2795 Y
0.5000 0.5613 0.5613 As
0.0000 0.7258 0.7258 Rh
```

Formation enthalpy at 0 K (eV/atom): -1.269
Volume (Å³ per cell): 84.60
E (eV/atom): -28.681
Fermi-level density of states (states/eV per cell): 1.34

***

Entry from Alexandria: TeSeBrN2 at its PBEsol-relaxed geometry (meta-GGA SCAN).

Cell and atoms, written as POSCAR:
```
TeSeBrN2
1.0
4.0697 0.0000 0.0000
0.0000 4.0697 0.0000
0.0000 0.0000 5.2165
Te Se Br N
1 1 1 2
Direct
0.0000 0.0000 0.0000 Te
0.5000 0.5000 0.0000 Se
0.5000 0.5000 0.5000 Br
0.0000 0.5000 0.5000 N
0.5000 0.0000 0.5000 N
```

Energy relative to the elements, uncorrected (meV/atom): 2104
Volume (Å³ per cell): 86.40
E (eV/atom): -16.970
Fermi-level density of states (states/eV per cell): 3.06

***

Entry from Alexandria: Na2TiH at its PBEsol-relaxed geometry (meta-GGA SCAN).

Cell and atoms, written as POSCAR:
```
Na2TiH
1.0
-4.9192 4.9192 1.8117
4.9192 -4.9192 1.8117
4.9192 4.9192 -1.8117
Na Ti H
4 2 2
Direct
0.3750 0.0099 0.1349 Na
0.7599 0.6250 0.6349 Na
0.8750 0.2401 0.8651 Na
0.9901 0.1250 0.3651 Na
0.2500 0.7500 0.5000 Ti
0.5000 0.5000 0.0000 Ti
0.0000 0.0000 0.0000 H
0.7500 0.2500 0.5000 H
```

Volume (Å³ per cell): 175.36
E (eV/atom): -6.525
Fermi-level density of states (states/eV per cell): 3.60

***

Entry from Alexandria: Tl2TeAs at its PBEsol-relaxed geometry (meta-GGA SCAN).

Cell and atoms, written as POSCAR:
```
Tl2TeAs
1.0
-1.8259 2.8283 5.2822
1.8259 -2.8283 5.2822
1.8259 2.8283 -5.2822
Tl Te As
2 1 1
Direct
0.0000 0.0000 0.0000 Tl
0.7214 0.2214 0.5000 Tl
0.4347 0.4347 0.0000 Te
0.2415 0.7415 0.5000 As
```

Energy relative to the elements, uncorrected (meV/atom): 49
Volume (Å³ per cell): 109.11
E (eV/atom): -50.491
Fermi-level density of states (states/eV per cell): 2.38

***

Entry from Alexandria: LiCuHS2 at its PBEsol-relaxed geometry (meta-GGA SCAN).

Cell and atoms, written as POSCAR:
```
LiCuHS2
1.0
4.0881 0.0000 0.0000
0.0000 4.0881 0.0000
0.0000 0.0000 3.4625
Li Cu H S
1 1 1 2
Direct
0.0000 0.0000 0.0000 Li
0.5000 0.5000 0.0000 Cu
0.0000 0.0000 0.5000 H
0.0000 0.5000 0.5000 S
0.5000 0.0000 0.5000 S
```

Volume (Å³ per cell): 57.87
E (eV/atom): -7.850
Fermi-level density of states (states/eV per cell): 1.52

***

Entry from Alexandria: CaGaF2 at its PBEsol-relaxed geometry (meta-GGA SCAN).

Cell and atoms, written as POSCAR:
```
CaGaF2
1.0
0.0000 3.1238 3.1238
3.1238 0.0000 3.1238
3.1238 3.1238 0.0000
Ca Ga F
1 1 2
Direct
0.0000 0.0000 0.0000 Ca
0.5000 0.5000 0.5000 Ga
0.2500 0.2500 0.2500 F
0.7500 0.7500 0.7500 F
```

Energy relative to the elements, uncorrected (meV/atom): -1983
Volume (Å³ per cell): 60.96
E (eV/atom): -10.255
Fermi-level density of states (states/eV per cell): 3.06

***

Entry from Alexandria: Li3Al at its PBEsol-relaxed geometry (meta-GGA SCAN).

Cell and atoms, written as POSCAR:
```
Li3Al
1.0
4.5452 2.6242 0.9230
-4.5452 2.6242 0.9230
0.0000 -5.2483 0.9230
Li Al
3 1
Direct
0.0000 0.5000 0.5000 Li
0.5000 0.0000 0.5000 Li
0.5000 0.5000 0.0000 Li
0.0000 0.0000 0.0000 Al
```

Formation enthalpy at 0 K (eV/atom): -0.065
Volume (Å³ per cell): 66.05
E (eV/atom): -3.795
Fermi-level density of states (states/eV per cell): 1.53

***

Entry from Alexandria: Ba6Bi2Te3O18 at its PBEsol-relaxed geometry (meta-GGA SCAN).

Cell and atoms, written as POSCAR:
```
Ba6Bi2Te3O18
1.0
-2.9950 4.2553 9.0175
2.9950 -4.2553 9.0175
2.9950 4.2553 -9.0175
Ba Bi Te O
6 2 3 18
Direct
0.0797 0.3468 0.7329 Ba
0.2233 0.0000 0.2233 Ba
0.3861 0.6532 0.7329 Ba
0.6139 0.3468 0.2671 Ba
0.7767 0.0000 0.7767 Ba
0.9203 0.6532 0.2671 Ba
0.3334 0.8334 0.5000 Bi
0.6666 0.1666 0.5000 Bi
0.1677 0.1677 0.0000 Te
0.5000 0.5000 0.0000 Te
0.8323 0.8323 0.0000 Te
0.0639 0.8324 0.2314 O
0.0929 0.3201 0.2272 O
0.0929 0.8657 0.7728 O
0.2440 0.0133 0.7693 O
0.2440 0.4748 0.2307 O
0.2762 0.5000 0.7762 O
0.3990 0.1676 0.2314 O
0.4224 0.1912 0.7688 O
0.4224 0.6536 0.2312 O
0.5776 0.3464 0.7688 O
0.5776 0.8088 0.2312 O
0.6010 0.8324 0.7686 O
0.7238 0.5000 0.2238 O
0.7560 0.5252 0.7693 O
0.7560 0.9867 0.2307 O
0.9071 0.1343 0.2272 O
0.9071 0.6799 0.7728 O
0.9361 0.1676 0.7686 O
```

Energy relative to the elements, uncorrected (meV/atom): -2126
Volume (Å³ per cell): 459.70
E (eV/atom): -23.449
Fermi-level density of states (states/eV per cell): 0.00